# NaGaPt4 PBE-GGA relaxed
data_NaGaPt4
_cell_length_a 7.550
_cell_length_b 7.550
_cell_length_c 7.550
_cell_angle_alpha 90.00
_cell_angle_beta 90.00
_cell_angle_gamma 90.00
_space_group_name_H-M_alt 'F -4 3 m'
_space_group_IT_number 216
_space_group_name_Hall 'F -4 2 3'
loop_
_atom_site_label
_atom_site_type_symbol
_atom_site_fract_x
_atom_site_fract_y
_atom_site_fract_z
Na1 Na 0.000 0.000 0.000
Ga1 Ga 0.250 0.250 0.250
Pt1 Pt 0.125 0.125 0.625
# **N(E_F)**: 0.83 states/eV/atom
# **Spin magnetization**: 0.000 μB/atom
# **E_form**: -228 meV/atom

***

# Na2Ga4Pt3 PBE-GGA relaxed
data_Na2Ga4Pt3
_cell_length_a 5.660
_cell_length_b 9.587
_cell_length_c 12.466
_cell_angle_alpha 90.00
_cell_angle_beta 90.00
_cell_angle_gamma 90.00
_space_group_name_H-M_alt 'F m m m'
_space_group_IT_number 69
_space_group_name_Hall '-F 2 2'
loop_
_atom_site_label
_atom_site_type_symbol
_atom_site_fract_x
_atom_site_fract_y
_atom_site_fract_z
Na1 Na 0.000 0.000 0.118
Ga1 Ga 0.000 0.170 0.336
Pt1 Pt 0.000 0.000 0.500
Pt2 Pt 0.250 0.250 0.000
# **N(E_F)**: 0.39 states/eV/atom
# **Polymorph energy (0 for the lowest one)**: 1.31 eV/f.u.
# **Spin magnetization**: 0.000 μB/atom
# **E_form**: -412 meV/atom

***

Number 1: E_tot -4.979 eV/atom. Number 2: E_tot -4.064 eV/atom.